Record 1
This record from Alexandria describes crystalline AcHo2Sn at its relaxed geometry. The functional is PBE.

Cell: 5.017 5.017 4.913 Å, 90.00 90.00 90.00°
Element x y z (fractional)
Ac  0.000  0.000  0.000
Ho  0.000  0.500  0.500
Ho  0.500  0.000  0.500
Sn  0.500  0.500  0.000

Properties
calculated volume: 30.9 Å³/atom
D(E_F): 1.4578 states/eV per atom
size of the total moment: 0.00 μB per atom
formation energy: -323.0 meV per atom
calculated density: 9.1 Mg/m³
raw total energy: -18.56 eV/cell

---

Record 2
This record from Alexandria describes crystalline LaZr2CuN4 at its relaxed geometry. The functional is PBE.

Cell: 5.791 5.791 11.308 Å, 90.00 90.00 146.44°
Element x y z (fractional)
La  0.103  0.897  0.750
La  0.897  0.103  0.250
Zr  0.366  0.634  0.555
Zr  0.366  0.634  0.945
Zr  0.634  0.366  0.055
Zr  0.634  0.366  0.445
Cu  0.161  0.839  0.250
Cu  0.839  0.161  0.750
N  0.000  0.000  0.000
N  0.000  0.000  0.500
N  0.265  0.735  0.108
N  0.265  0.735  0.392
N  0.445  0.555  0.750
N  0.555  0.445  0.250
N  0.735  0.265  0.608
N  0.735  0.265  0.892

Properties
calculated volume: 13.1 Å³/atom
D(E_F): 0.0791 states/eV per atom
size of the total moment: 0.00 μB per atom
calculated density: 7.0 Mg/m³
raw total energy: -138.70 eV/cell
ΔE_f (raw): -1241 meV per atom

---

Record 3
This record from Alexandria describes crystalline RbMnPPb2 at its relaxed geometry. The functional is PBE.

Cell: 6.053 6.053 5.298 Å, 90.00 90.00 90.00°
Element x y z (fractional)
Rb  0.000  0.000  0.000
Mn  0.000  0.000  0.500
P  0.500  0.500  0.500
Pb  0.000  0.500  0.000
Pb  0.500  0.000  0.000

Properties
calculated volume: 38.8 Å³/atom
D(E_F): 1.3628 states/eV per atom
size of the total moment: 0.83 μB per atom
formation energy: 1894.1 meV per atom
calculated density: 5.0 Mg/m³
raw total energy: -13.49 eV/cell

---

Repeat the second record exactly.
This record from Alexandria describes crystalline LaZr2CuN4 at its relaxed geometry. The functional is PBE.

Cell: 5.791 5.791 11.308 Å, 90.00 90.00 146.44°
Element x y z (fractional)
La  0.103  0.897  0.750
La  0.897  0.103  0.250
Zr  0.366  0.634  0.555
Zr  0.366  0.634  0.945
Zr  0.634  0.366  0.055
Zr  0.634  0.366  0.445
Cu  0.161  0.839  0.250
Cu  0.839  0.161  0.750
N  0.000  0.000  0.000
N  0.000  0.000  0.500
N  0.265  0.735  0.108
N  0.265  0.735  0.392
N  0.445  0.555  0.750
N  0.555  0.445  0.250
N  0.735  0.265  0.608
N  0.735  0.265  0.892

Properties
calculated volume: 13.1 Å³/atom
D(E_F): 0.0791 states/eV per atom
size of the total moment: 0.00 μB per atom
calculated density: 7.0 Mg/m³
raw total energy: -138.70 eV/cell
ΔE_f (raw): -1241 meV per atom